No. 1
First-principles (GGA-PBE) data for a relaxed PrCr4 crystal, as listed in Alexandria.

Results
Energy of formation from the pure elements   217.3 kJ/mol of atoms
M_tot   3.047 μB/atom
Electronic total energy   -6.403 eV/atom

Unit cell a=5.0219 b=5.0219 c=5.0219 alpha=90.00 beta=90.00 gamma=90.00
With the nearest neighbours (Å) after each atom.
Atoms (fractional coordinates):
Cr 0.0000 0.0000 0.0000  12 Cr 3.55
Cr 0.5000 0.5000 0.0000  2 Pr 2.51
Cr 0.0000 0.5000 0.5000  2 Pr 2.51
Pr 0.5000 0.5000 0.5000  6 Cr 2.51
Cr 0.5000 0.0000 0.5000  2 Pr 2.51

=====

No. 2
First-principles (GGA-PBE) data for a relaxed PdPtN2O crystal, as listed in Alexandria.

Results
Raw formation energy   1.433 eV per atom
M_tot   0.000 μB/atom
Electronic total energy   -5.135 eV/atom

Unit cell a=3.8357 b=3.8357 c=4.2214 alpha=90.00 beta=90.00 gamma=90.00
With the nearest neighbours (Å) after each atom.
Atoms (fractional coordinates):
N 0.0000 0.5000 0.0000  2 Pt 1.92
Pt 0.0000 0.0000 0.0000  4 N 1.92, 2 O 2.11
O 0.0000 0.0000 0.5000  2 Pt 2.11
Pd 0.5000 0.5000 0.5000  4 O 2.71, 8 N 2.85
N 0.5000 0.0000 0.0000  2 Pt 1.92

=====

No. 3
First-principles (GGA-PBE) data for a relaxed ScInMo2 crystal, as listed in Alexandria.

Results
Energy of formation from the pure elements   77.1 kJ/mol of atoms
M_tot   0.000 μB/atom
Electronic total energy   -6.884 eV/atom

Unit cell a=7.5416 b=7.5416 c=6.0150 alpha=51.18 beta=51.18 gamma=90.00
With the nearest neighbours (Å) after each atom.
Atoms (fractional coordinates):
Mo 0.6338 0.1250 0.2500  2 In 2.71, 2 Mo 2.79, 2 Sc 2.80
Sc 0.5000 0.5000 0.0000  2 In 2.78, 4 Mo 2.80
In 0.7500 0.2500 0.5000  4 Mo 2.71, 2 Sc 2.78
Mo 0.1162 0.6250 0.2500  2 In 2.71, 2 Mo 2.79, 2 Sc 2.80
Mo 0.3750 0.3662 0.7500  2 In 2.71, 2 Mo 2.79, 2 Sc 2.80
Sc 0.2500 0.7500 0.5000  2 In 2.78, 4 Mo 2.80
In 0.0000 0.0000 0.0000  4 Mo 2.71, 2 Sc 2.78
Mo 0.8750 0.8838 0.7500  2 In 2.71, 2 Mo 2.79, 2 Sc 2.80

=====

No. 4
First-principles (GGA-PBE) data for a relaxed TlInNi2 crystal, as listed in Alexandria.

Results
Energy of formation from the pure elements   26.4 kJ/mol of atoms
M_tot   0.000 μB/atom
Electronic total energy   -3.893 eV/atom
Offset from the most stable computed form   0.154 eV/atom

Unit cell a=8.0435 b=8.0435 c=8.0435 alpha=23.07 beta=23.07 gamma=23.07
With the nearest neighbours (Å) after each atom.
Atoms (fractional coordinates):
Tl 0.2500 0.2500 0.2500  6 Ni 2.73
Ni 0.4984 0.4984 0.4984  3 In 2.67, 3 Tl 2.73
In 0.7500 0.7500 0.7500  6 Ni 2.67
Ni 0.0016 0.0016 0.0016  3 In 2.67, 3 Tl 2.73

=====

No. 5
First-principles (GGA-PBE) data for a relaxed Na2SmErO4 crystal, as listed in Alexandria.

Results
Raw formation energy   -2.751 eV per atom
M_tot   0.000 μB/atom
Electronic total energy   -6.720 eV/atom

Unit cell a=3.4597 b=5.9979 c=5.9453 alpha=109.66 beta=90.00 gamma=90.00
With the nearest neighbours (Å) after each atom.
Atoms (fractional coordinates):
O 0.0000 0.7463 0.2130  1 Er 2.28, 2 Sm 2.35, 2 Na 2.54
O 0.0000 0.2537 0.7870  1 Er 2.28, 2 Sm 2.35, 2 Na 2.54
O 0.5000 0.7707 0.7892  2 Er 2.30, 1 Sm 2.36, 1 Na 2.54
Sm 0.5000 0.5000 0.0000  6 O 2.35-2.36
O 0.5000 0.2293 0.2108  2 Er 2.30, 1 Sm 2.36, 1 Na 2.54
Na 0.0000 0.5000 0.5000  6 O 2.59-2.61
Er 0.0000 0.0000 0.0000  6 O 2.28-2.30
Na 0.5000 0.0000 0.5000  6 O 2.54

=====

No. 6
First-principles (GGA-PBE) data for a relaxed ZnIn3Rh3 crystal, as listed in Alexandria.

Results
Energy of formation from the pure elements   -35.3 kJ/mol of atoms
M_tot   0.000 μB/atom
Electronic total energy   -4.872 eV/atom

Unit cell a=5.4634 b=5.5292 c=5.4634 alpha=109.72 beta=109.23 gamma=109.72
With the nearest neighbours (Å) after each atom.
Atoms (fractional coordinates):
In 0.0000 0.0036 0.4999  6 Rh 2.73-2.76
Rh 0.5000 0.0036 0.5000  2 Zn 2.73, 6 In 2.73-2.76
Zn 0.0000 0.5034 0.0000  6 Rh 2.73
Rh 0.0000 0.5036 0.5000  2 Zn 2.73, 6 In 2.73-2.76
In 0.4999 0.0036 0.0000  6 Rh 2.73-2.76
Rh 0.5000 0.5036 0.0000  2 Zn 2.73, 6 In 2.73-2.76
In 0.5001 0.5037 0.5001  6 Rh 2.73-2.76

=====

No. 7
First-principles (GGA-PBE) data for a relaxed YErHgAu crystal, as listed in Alexandria.

Results
Energy of formation from the pure elements   -64.7 kJ/mol of atoms
M_tot   0.000 μB/atom
Electronic total energy   -4.323 eV/atom
Offset from the most stable computed form   0.014 eV/atom

Unit cell a=5.1601 b=5.1601 c=5.1601 alpha=60.00 beta=60.00 gamma=60.00
With the nearest neighbours (Å) after each atom.
Atoms (fractional coordinates):
Y 0.7500 0.7500 0.7500  4 Hg 3.16, 4 Au 3.16
Au 0.0000 0.0000 0.0000  4 Er 3.16, 4 Y 3.16
Hg 0.5000 0.5000 0.5000  4 Er 3.16, 4 Y 3.16
Er 0.2500 0.2500 0.2500  4 Hg 3.16, 4 Au 3.16

=====

No. 8
First-principles (GGA-PBE) data for a relaxed CaAg2PS4 crystal, as listed in Alexandria.

Results
Raw formation energy   -0.393 eV per atom
M_tot   0.000 μB/atom
Electronic total energy   -4.096 eV/atom

Unit cell a=7.9083 b=7.9083 c=7.4759 alpha=118.21 beta=118.21 gamma=98.07
With the nearest neighbours (Å) after each atom.
Atoms (fractional coordinates):
Ca 0.0000 0.5000 0.5000  6 S 2.74-2.85
S 0.7614 0.7388 0.9845  2 P 2.51, 2 Ag 2.68
S 0.2386 0.2612 0.0155  2 P 2.51, 2 Ag 2.68
S 0.3138 0.7200 0.5169  1 P 2.43, 2 Ag 2.57
P 0.5000 0.5000 0.5000  6 S 2.43-2.51
S 0.7800 0.1862 0.9831  1 P 2.43, 2 Ag 2.57
S 0.2388 0.2614 0.4845  2 P 2.51, 2 Ag 2.68
Ag 0.5000 0.0000 0.5000  4 S 2.57
Ca 0.0000 0.5000 0.0000  6 S 2.74-2.85
Ag 0.5000 0.0000 0.0000  4 S 2.57
S 0.6862 0.2800 0.4831  1 P 2.43, 2 Ag 2.57
P 0.0000 0.0000 0.0000  6 S 2.43-2.51
S 0.2200 0.8138 0.0169  1 P 2.43, 2 Ag 2.57
Ag 0.5000 0.5000 0.0000  4 S 2.68
S 0.7612 0.7386 0.5155  2 P 2.51, 2 Ag 2.68
Ag 0.0000 0.0000 0.5000  4 S 2.68